{
  "formula": "Mg5ZnPt4",
  "functional": "PBE",
  "state": "optimized geometry",
  "space_group": "P4/mmm (123)",
  "formation_energy_ev_per_atom": -0.714,
  "cell": [[3.210, 0.000, 0.000], [0.000, 3.210, 0.000], [0.000, 0.000, 15.833]],
  "species": ["Mg", "Mg", "Mg", "Mg", "Mg", "Zn", "Pt", "Pt", "Pt", "Pt"],
  "frac_coords": [[0.000, 0.000, 0.000], [0.000, 0.000, 0.195], [0.000, 0.000, 0.390], [0.000, 0.000, 0.610], [0.000, 0.000, 0.805], [0.500, 0.500, 0.500], [0.500, 0.500, 0.097], [0.500, 0.500, 0.295], [0.500, 0.500, 0.705], [0.500, 0.500, 0.903]]
}

{
  "formula": "MgZn6Pt",
  "functional": "PBE",
  "state": "optimized geometry",
  "space_group": "Pm-3 (200)",
  "formation_energy_ev_per_atom": -0.131,
  "cell": [[5.009, 0.000, 0.000], [0.000, 5.009, 0.000], [0.000, 0.000, 5.009]],
  "species": ["Mg", "Zn", "Zn", "Zn", "Zn", "Zn", "Zn", "Pt"],
  "frac_coords": [[0.000, 0.000, 0.000], [0.000, 0.254, 0.500], [0.000, 0.746, 0.500], [0.254, 0.500, 0.000], [0.500, 0.000, 0.254], [0.500, 0.000, 0.746], [0.746, 0.500, 0.000], [0.500, 0.500, 0.500]]
}

{
  "formula": "Mg3ZnPt2",
  "functional": "PBE",
  "state": "optimized geometry",
  "space_group": "Cmmm (65)",
  "formation_energy_ev_per_atom": -0.636,
  "cell": [[4.423, 0.000, 0.000], [0.000, 13.304, 0.000], [0.000, 0.000, 3.346]],
  "species": ["Mg", "Mg", "Mg", "Mg", "Mg", "Mg", "Zn", "Zn", "Pt", "Pt", "Pt", "Pt"],
  "frac_coords": [[0.000, 0.000, 0.000], [0.000, 0.326, 0.000], [0.000, 0.674, 0.000], [0.500, 0.174, 0.000], [0.500, 0.500, 0.000], [0.500, 0.826, 0.000], [0.000, 0.500, 0.500], [0.500, 0.000, 0.500], [0.000, 0.160, 0.500], [0.000, 0.840, 0.500], [0.500, 0.340, 0.500], [0.500, 0.660, 0.500]]
}